{
  "formula": "Ca4MnCd3O8",
  "functional": "PBE+U",
  "state": "optimized geometry",
  "lattice": [[6.8041, 0.0000, 0.0000], [0.0000, 6.6914, -0.0795], [-3.4021, -3.4022, 4.8105]],
  "species": ["O", "O", "O", "O", "O", "O", "O", "O", "Cd", "Cd", "Cd", "Ca", "Ca", "Ca", "Ca", "Mn"],
  "fractional_positions": [[0.7580, 0.7495, 0.0038], [0.2457, 0.7495, 0.0038], [0.2456, 0.7494, 0.4913], [0.7512, 0.7537, 0.5024], [0.2420, 0.2505, 0.9962], [0.7543, 0.2505, 0.9962], [0.7544, 0.2506, 0.5087], [0.2488, 0.2463, 0.4976], [0.0000, 0.5000, 0.5000], [0.5000, 0.5000, 0.5000], [0.5000, 0.5000, 0.0000], [0.0000, 0.0000, 0.0000], [0.0000, 0.0000, 0.5000], [0.5000, 0.0000, 0.5000], [0.5000, 0.0000, 0.0000], [0.0000, 0.5000, 0.0000]],
  "energy_ev_per_cell": -91.013,
  "magmom_total_mub_per_cell": 5.000
}

=====

{
  "formula": "RbFeF4",
  "functional": "PBE+U",
  "state": "optimized geometry",
  "lattice": [[5.4530, 0.0000, 0.0000], [0.0000, 5.4530, 0.0000], [0.0000, 0.0000, 6.5627]],
  "species": ["F", "F", "F", "F", "F", "F", "F", "F", "Rb", "Rb", "Fe", "Fe"],
  "fractional_positions": [[0.0000, 0.0000, 0.2914], [0.5000, 0.5000, 0.2914], [0.1891, 0.3109, 0.0000], [0.8109, 0.6891, 0.0000], [0.6891, 0.1891, 0.0000], [0.0000, 0.0000, 0.7086], [0.5000, 0.5000, 0.7086], [0.3109, 0.8109, 0.0000], [0.0000, 0.5000, 0.5000], [0.5000, 0.0000, 0.5000], [0.0000, 0.0000, 0.0000], [0.5000, 0.5000, 0.0000]],
  "energy_ev_per_cell": -59.779,
  "magmom_total_mub_per_cell": 10.000
}